# 1
Below is a relaxed structure of TaBeBi3, with properties calculated at the PBE level.

M_tot   0.00 μB/f.u.
Distance to the lowest polymorph of the same formula   0 meV/atom
Energy of formation   1.04 eV per atom

```
5
Lattice="5.493 0.000 0.000 0.000 5.493 0.000 0.000 0.000 5.493" Properties=species:S:1:pos:R:3 pbc="T T T"
Ta 0.000 0.000 0.000
Be 2.747 2.747 2.747
Bi 0.000 0.000 2.747
Bi 0.000 2.747 0.000
Bi 2.747 0.000 0.000
```

***

# 2
Below is a relaxed structure of TaBe3Bi, with properties calculated at the PBE level.

M_tot   0.00 μB/f.u.
Distance to the lowest polymorph of the same formula   0 meV/atom
Energy of formation   1.30 eV per atom

```
5
Lattice="4.579 0.000 0.000 0.000 4.579 0.000 0.000 0.000 4.579" Properties=species:S:1:pos:R:3 pbc="T T T"
Ta 0.000 0.000 0.000
Be 0.000 0.000 2.289
Be 0.000 2.289 0.000
Be 2.289 0.000 0.000
Bi 2.289 2.289 2.289
```

***

# 3
Below is a relaxed structure of TaBe2Bi, with properties calculated at the PBE level.

M_tot   0.00 μB/f.u.
Energy of formation   0.87 eV per atom

```
8
Lattice="-3.469 3.469 2.839 3.469 -3.469 2.839 3.469 3.469 -2.839" Properties=species:S:1:pos:R:3 pbc="T T T"
Ta 0.000 0.000 0.000
Ta 0.000 3.469 1.420
Be 1.735 1.678 -0.710
Be 1.791 -1.735 3.549
Be 1.735 1.791 2.129
Be 1.678 5.204 0.710
Bi 3.469 0.000 1.420
Bi 0.000 0.000 2.839
```

***

# 4
Below is a relaxed structure of TaBeBi2W, with properties calculated at the PBE level.

M_tot   0.00 μB/f.u.
Energy of formation   1.47 eV per atom

```
5
Lattice="4.855 0.000 0.000 0.000 4.855 0.000 0.000 0.000 4.404" Properties=species:S:1:pos:R:3 pbc="T T T"
Ta 0.000 0.000 0.000
Be 0.000 0.000 2.202
Bi 0.000 2.427 2.202
Bi 2.427 0.000 2.202
W 2.427 2.427 0.000
```

***

# 5
Below is a relaxed structure of TbBeBi, with properties calculated at the PBE level.

M_tot   0.00 μB/f.u.
Energy of formation   0.07 eV per atom

```
18
Lattice="6.432 0.000 0.000 -3.216 5.571 0.000 0.000 0.000 12.105" Properties=species:S:1:pos:R:3 pbc="T T T"
Tb -1.608 2.785 4.699
Tb -1.608 2.785 11.441
Tb 3.216 0.000 3.371
Tb 3.216 0.000 8.734
Tb 1.608 2.785 0.664
Tb 1.608 2.785 7.406
Be -0.743 3.285 2.017
Be 0.743 3.285 10.087
Be 0.000 4.572 6.052
Be 3.216 0.999 6.052
Be 2.473 2.286 10.087
Be 3.960 2.286 2.017
Bi 0.000 0.000 2.017
Bi 0.000 0.000 6.052
Bi 0.000 0.000 10.087
Bi -1.608 2.785 8.070
Bi 3.216 0.000 0.000
Bi 1.608 2.785 4.035
```

***

# 6
Below is a relaxed structure of BeTcBi3, with properties calculated at the PBE level.

M_tot   2.93 μB/f.u.
Distance to the lowest polymorph of the same formula   69 meV/atom
Energy of formation   1.08 eV per atom

```
5
Lattice="5.043 0.000 0.000 0.000 5.043 0.000 0.000 0.000 5.043" Properties=species:S:1:pos:R:3 pbc="T T T"
Be 0.000 0.000 0.000
Tc 2.521 2.521 2.521
Bi 0.000 0.000 2.521
Bi 0.000 2.521 0.000
Bi 2.521 0.000 0.000
```

***

# 7
Below is a relaxed structure of BeTc2Bi, with properties calculated at the PBE level.

M_tot   0.00 μB/f.u.
Distance to the lowest polymorph of the same formula   0 meV/atom
Energy of formation   0.58 eV per atom

```
8
Lattice="-2.014 2.014 8.921 2.014 -2.014 8.921 2.014 2.014 -8.921" Properties=species:S:1:pos:R:3 pbc="T T T"
Be 0.000 0.000 0.000
Be 0.000 2.014 4.460
Tc 3.021 0.634 -2.230
Tc 0.634 1.007 2.230
Tc -1.007 1.380 6.690
Tc 1.380 1.007 11.151
Bi 2.014 0.000 4.460
Bi 0.000 0.000 8.921
```

***

# 8
Below is a relaxed structure of BeTc3Bi, with properties calculated at the PBE level.

M_tot   3.13 μB/f.u.
Distance to the lowest polymorph of the same formula   0 meV/atom
Energy of formation   0.69 eV per atom

```
5
Lattice="4.304 0.000 0.000 0.000 4.304 0.000 0.000 0.000 4.304" Properties=species:S:1:pos:R:3 pbc="T T T"
Be 0.000 0.000 0.000
Tc 0.000 0.000 2.152
Tc 0.000 2.152 0.000
Tc 2.152 0.000 0.000
Bi 2.152 2.152 2.152
```

***

# 9
Below is a relaxed structure of BeTc2Bi, with properties calculated at the PBE level.

M_tot   0.00 μB/f.u.
Distance to the lowest polymorph of the same formula   9 meV/atom
Energy of formation   0.59 eV per atom

```
4
Lattice="0.000 3.147 3.147 3.147 0.000 3.147 3.147 3.147 0.000" Properties=species:S:1:pos:R:3 pbc="T T T"
Be 0.000 0.000 0.000
Tc 1.574 1.574 1.574
Tc 4.721 4.721 4.721
Bi 3.147 3.147 3.147
```

***

# 10
Below is a relaxed structure of BeTc3Bi, with properties calculated at the PBE level.

M_tot   6.00 μB/f.u.
Distance to the lowest polymorph of the same formula   1965 meV/atom
Energy of formation   2.65 eV per atom

```
5
Lattice="5.014 0.000 0.000 0.000 5.014 0.000 0.000 0.000 5.014" Properties=species:S:1:pos:R:3 pbc="T T T"
Be 0.000 0.000 0.000
Tc 0.000 2.507 2.507
Tc 2.507 0.000 2.507
Tc 2.507 2.507 0.000
Bi 2.507 2.507 2.507
```

***

# 11
Below is a relaxed structure of Be3TcBi, with properties calculated at the PBE level.

M_tot   0.00 μB/f.u.
Distance to the lowest polymorph of the same formula   0 meV/atom
Energy of formation   0.74 eV per atom

```
5
Lattice="4.332 0.000 0.000 0.000 4.332 0.000 0.000 0.000 4.332" Properties=species:S:1:pos:R:3 pbc="T T T"
Be 0.000 0.000 2.166
Be 0.000 2.166 0.000
Be 2.166 0.000 0.000
Tc 0.000 0.000 0.000
Bi 2.166 2.166 2.166
```

***

# 12
Below is a relaxed structure of BeTcBi2, with properties calculated at the PBE level.

M_tot   1.48 μB/f.u.
Energy of formation   0.92 eV per atom

```
8
Lattice="-3.072 3.072 5.878 3.072 -3.072 5.878 3.072 3.072 -5.878" Properties=species:S:1:pos:R:3 pbc="T T T"
Be 0.000 0.000 0.000
Be 0.000 3.072 2.939
Tc 3.072 0.000 2.939
Tc 0.000 0.000 5.878
Bi 4.608 1.396 -1.470
Bi 1.396 1.536 1.470
Bi -1.536 1.676 4.409
Bi 1.676 1.536 7.348
```

***

# 13
Below is a relaxed structure of BeTcBi3, with properties calculated at the PBE level.

M_tot   0.00 μB/f.u.
Distance to the lowest polymorph of the same formula   0 meV/atom
Energy of formation   1.01 eV per atom

```
5
Lattice="5.298 0.000 0.000 0.000 5.298 0.000 0.000 0.000 5.298" Properties=species:S:1:pos:R:3 pbc="T T T"
Be 0.000 0.000 0.000
Tc 2.649 2.649 2.649
Bi 0.000 2.649 2.649
Bi 2.649 0.000 2.649
Bi 2.649 2.649 0.000
```

***

# 14
Below is a relaxed structure of Be3TcBi, with properties calculated at the PBE level.

M_tot   2.49 μB/f.u.
Distance to the lowest polymorph of the same formula   1252 meV/atom
Energy of formation   1.99 eV per atom

```
5
Lattice="4.627 0.000 0.000 0.000 4.627 0.000 0.000 0.000 4.627" Properties=species:S:1:pos:R:3 pbc="T T T"
Be 0.000 0.000 2.313
Be 0.000 2.313 0.000
Be 2.313 0.000 0.000
Tc 2.313 2.313 2.313
Bi 0.000 0.000 0.000
```